(1)
{
  "formula": "NaTe4As2Au",
  "functional": "PBE-GGA",
  "state": "relaxed",
  "e_form_raw_mev_per_atom": -37,
  "sg": "I222 (23)",
  "lattice": [[6.735, 0.000, 0.000], [3.367, 5.971, -0.150], [3.367, 0.340, 5.963]],
  "species": ["Au", "Te", "Te", "Te", "Te", "As", "As", "Na"],
  "frac_coords": [[0.500, 0.500, 0.500], [0.551, 0.075, 0.483], [0.108, 0.925, 0.517], [0.892, 0.483, 0.075], [0.449, 0.517, 0.925], [0.847, 0.653, 0.653], [0.153, 0.347, 0.347], [0.000, 0.000, 0.000]]
}

=====

(2)
{
  "formula": "CsNdCuSe3",
  "functional": "PBE-GGA",
  "state": "relaxed",
  "e_form_raw_mev_per_atom": -1175,
  "sg": "P2_1/m (11)",
  "lattice": [[4.246, 0.000, 0.000], [0.000, 9.828, -0.452], [0.000, -3.046, 9.696]],
  "species": ["Nd", "Nd", "Se", "Se", "Se", "Se", "Se", "Se", "Cs", "Cs", "Cu", "Cu"],
  "frac_coords": [[0.250, 0.673, 0.142], [0.750, 0.327, 0.858], [0.750, 0.168, 0.543], [0.250, 0.528, 0.836], [0.250, 0.832, 0.457], [0.750, 0.882, 0.139], [0.250, 0.118, 0.861], [0.750, 0.472, 0.164], [0.250, 0.209, 0.247], [0.750, 0.791, 0.753], [0.750, 0.915, 0.386], [0.250, 0.085, 0.614]]
}

=====

(3)
{
  "formula": "Ce2Ni4Sn3Ge",
  "functional": "PBE-GGA",
  "state": "relaxed",
  "sg": "P-4m2 (115)",
  "formation_energy_ev_per_atom": -0.516,
  "lattice": [[-3.695, 0.024, 2.386], [-2.354, -0.765, -3.636], [0.891, -9.767, 1.477]],
  "species": ["Sn", "Sn", "Sn", "Ni", "Ni", "Ni", "Ni", "Ce", "Ce", "Ge"],
  "frac_coords": [[0.500, 0.000, 0.870], [0.000, 0.000, 0.500], [0.000, 0.500, 0.130], [0.000, 0.500, 0.382], [0.500, 0.500, 0.000], [0.500, 0.000, 0.618], [0.000, 0.000, 0.000], [0.000, 0.500, 0.753], [0.500, 0.000, 0.247], [0.500, 0.500, 0.500]]
}

=====

What did the first record say?
{
  "formula": "NaTe4As2Au",
  "functional": "PBE-GGA",
  "state": "relaxed",
  "e_form_raw_mev_per_atom": -37,
  "sg": "I222 (23)",
  "lattice": [[6.735, 0.000, 0.000], [3.367, 5.971, -0.150], [3.367, 0.340, 5.963]],
  "species": ["Au", "Te", "Te", "Te", "Te", "As", "As", "Na"],
  "frac_coords": [[0.500, 0.500, 0.500], [0.551, 0.075, 0.483], [0.108, 0.925, 0.517], [0.892, 0.483, 0.075], [0.449, 0.517, 0.925], [0.847, 0.653, 0.653], [0.153, 0.347, 0.347], [0.000, 0.000, 0.000]]
}

=====

What did the second record say?
{
  "formula": "CsNdCuSe3",
  "functional": "PBE-GGA",
  "state": "relaxed",
  "e_form_raw_mev_per_atom": -1175,
  "sg": "P2_1/m (11)",
  "lattice": [[4.246, 0.000, 0.000], [0.000, 9.828, -0.452], [0.000, -3.046, 9.696]],
  "species": ["Nd", "Nd", "Se", "Se", "Se", "Se", "Se", "Se", "Cs", "Cs", "Cu", "Cu"],
  "frac_coords": [[0.250, 0.673, 0.142], [0.750, 0.327, 0.858], [0.750, 0.168, 0.543], [0.250, 0.528, 0.836], [0.250, 0.832, 0.457], [0.750, 0.882, 0.139], [0.250, 0.118, 0.861], [0.750, 0.472, 0.164], [0.250, 0.209, 0.247], [0.750, 0.791, 0.753], [0.750, 0.915, 0.386], [0.250, 0.085, 0.614]]
}